Computed, not measured: a geometry-optimized TmBe6Pd6 structure at the PBE-GGA level of DFT.

```
data_TmBe6Pd6
_chemical_formula_sum 'Tm2 Be12 Pd12'
_cell_length_a 4.875
_cell_length_b 8.152
_cell_length_c 8.250
_cell_angle_alpha 90.00
_cell_angle_beta 90.00
_cell_angle_gamma 90.00
_symmetry_space_group_name_H-M 'I m m m'
_symmetry_Int_Tables_number 71
_symmetry_space_group_name_Hall '-I 2 2'
loop_
_atom_site_label
_atom_site_fract_x
_atom_site_fract_y
_atom_site_fract_z
Tm1 0.000 0.000 0.000
Be1 0.000 0.255 0.500
Be2 0.250 0.250 0.250
Pd1 0.000 0.000 0.339
Pd2 0.000 0.336 0.000
Pd3 0.000 0.500 0.322
```

Calculated values
Uncorrected energy, eV/atom: -5.011


Computed, not measured: a geometry-optimized Y2TmNpS6 structure at the PBE-GGA level of DFT.

```
data_Y2TmNpS6
_chemical_formula_sum 'Y6 Tm3 Np3 S18'
_cell_length_a 6.9171
_cell_length_b 6.9171
_cell_length_c 18.6013
_cell_angle_alpha 90.00
_cell_angle_beta 90.00
_cell_angle_gamma 120.00
_symmetry_space_group_name_H-M 'R 3'
_symmetry_Int_Tables_number 146
_symmetry_space_group_name_Hall 'R 3'
loop_
_atom_site_label
_atom_site_fract_x
_atom_site_fract_y
_atom_site_fract_z
Y1 0.0000 0.0000 0.0000
Y2 0.0000 0.0000 0.4970
Tm1 0.0000 0.0000 0.6971
Np1 0.0000 0.0000 0.1996
S1 0.0052 0.7058 0.5990
S2 0.0317 0.3597 0.7646
```

Calculated values
Uncorrected energy, eV/atom: -7.358
Formation energy without anion corrections, eV per atom: -1.85


Computed, not measured: a geometry-optimized Hf4HS structure at the PBE-GGA level of DFT.

```
data_Hf4HS
_chemical_formula_sum 'Hf16 H4 S4'
_cell_length_a 7.937
_cell_length_b 7.937
_cell_length_c 6.913
_cell_angle_alpha 90.00
_cell_angle_beta 90.00
_cell_angle_gamma 90.00
_symmetry_space_group_name_H-M 'I 41 m d'
_symmetry_Int_Tables_number 109
_symmetry_space_group_name_Hall 'I 4bw -2'
loop_
_atom_site_label
_atom_site_fract_x
_atom_site_fract_y
_atom_site_fract_z
Hf1 0.000 0.201 0.000
Hf2 0.000 0.236 0.487
H1 0.000 0.000 0.189
S1 0.000 0.000 0.721
```

Calculated values
Uncorrected energy, eV/atom: -8.321


Computed, not measured: a geometry-optimized CdAu2Cl structure at the PBE-GGA level of DFT.

```
data_CdAu2Cl
_chemical_formula_sum 'Cd1 Au2 Cl1'
_cell_length_a 3.897
_cell_length_b 3.897
_cell_length_c 5.618
_cell_angle_alpha 90.00
_cell_angle_beta 90.00
_cell_angle_gamma 90.00
_symmetry_space_group_name_H-M 'P 4/m m m'
_symmetry_Int_Tables_number 123
_symmetry_space_group_name_Hall '-P 4 2'
loop_
_atom_site_label
_atom_site_fract_x
_atom_site_fract_y
_atom_site_fract_z
Cd1 0.000 0.000 0.000
Au1 0.000 0.500 0.500
Cl1 0.500 0.500 0.000
```

Calculated values
Uncorrected energy, eV/atom: -2.397
Formation energy without anion corrections, eV per atom: -0.07


Computed, not measured: a geometry-optimized LiSiGeH2 structure at the PBE-GGA level of DFT.

```
data_LiSiGeH2
_chemical_formula_sum 'Li1 Si1 Ge1 H2'
_cell_length_a 3.556
_cell_length_b 3.556
_cell_length_c 5.249
_cell_angle_alpha 90.00
_cell_angle_beta 90.00
_cell_angle_gamma 90.00
_symmetry_space_group_name_H-M 'P 4/m m m'
_symmetry_Int_Tables_number 123
_symmetry_space_group_name_Hall '-P 4 2'
loop_
_atom_site_label
_atom_site_fract_x
_atom_site_fract_y
_atom_site_fract_z
Li1 0.000 0.000 0.000
Si1 0.500 0.500 0.500
Ge1 0.000 0.000 0.500
H1 0.000 0.500 0.000
```

Calculated values
Uncorrected energy, eV/atom: -3.091


Computed, not measured: a geometry-optimized PmMg2As structure at the PBE-GGA level of DFT.

```
data_PmMg2As
_chemical_formula_sum 'Pm1 Mg2 As1'
_cell_length_a 4.313
_cell_length_b 4.313
_cell_length_c 5.058
_cell_angle_alpha 90.00
_cell_angle_beta 90.00
_cell_angle_gamma 90.00
_symmetry_space_group_name_H-M 'P 4/m m m'
_symmetry_Int_Tables_number 123
_symmetry_space_group_name_Hall '-P 4 2'
loop_
_atom_site_label
_atom_site_fract_x
_atom_site_fract_y
_atom_site_fract_z
Pm1 0.000 0.000 0.000
Mg1 0.000 0.500 0.500
As1 0.500 0.500 0.000
```

Calculated values
Uncorrected energy, eV/atom: -3.656


Computed, not measured: a geometry-optimized CrAs2 structure at the PBE-GGA level of DFT.

```
data_CrAs2
_chemical_formula_sum 'Cr4 As8'
_cell_length_a 6.093
_cell_length_b 6.093
_cell_length_c 6.093
_cell_angle_alpha 90.00
_cell_angle_beta 90.00
_cell_angle_gamma 90.00
_symmetry_space_group_name_H-M 'P a -3'
_symmetry_Int_Tables_number 205
_symmetry_space_group_name_Hall '-P 2ac 2ab 3'
loop_
_atom_site_label
_atom_site_fract_x
_atom_site_fract_y
_atom_site_fract_z
Cr1 0.000 0.000 0.000
As1 0.117 0.617 0.883
```

Calculated values
Uncorrected energy, eV/atom: -6.248


Computed, not measured: a geometry-optimized Ce3Tl2Cu2 structure at the PBE-GGA level of DFT.

```
data_Ce3Tl2Cu2
_chemical_formula_sum 'Ce6 Tl4 Cu4'
_cell_length_a 4.513
_cell_length_b 22.378
_cell_length_c 3.366
_cell_angle_alpha 90.00
_cell_angle_beta 90.00
_cell_angle_gamma 90.00
_symmetry_space_group_name_H-M 'C m m m'
_symmetry_Int_Tables_number 65
_symmetry_space_group_name_Hall '-C 2 2'
loop_
_atom_site_label
_atom_site_fract_x
_atom_site_fract_y
_atom_site_fract_z
Ce1 0.000 0.000 0.000
Ce2 0.000 0.171 0.000
Tl1 0.000 0.414 0.500
Cu1 0.000 0.279 0.500
```

Calculated values
Uncorrected energy, eV/atom: -4.591


Computed, not measured: a geometry-optimized WAu structure at the PBE-GGA level of DFT.

```
data_WAu
_chemical_formula_sum 'W6 Au6'
_cell_length_a 11.3063
_cell_length_b 11.3063
_cell_length_c 3.0638
_cell_angle_alpha 90.00
_cell_angle_beta 90.00
_cell_angle_gamma 120.00
_symmetry_space_group_name_H-M 'P 63/m'
_symmetry_Int_Tables_number 176
_symmetry_space_group_name_Hall '-P 6c'
loop_
_atom_site_label
_atom_site_fract_x
_atom_site_fract_y
_atom_site_fract_z
W1 0.0060 0.4206 0.2500
Au1 0.2199 0.7327 0.2500
```

Calculated values
Uncorrected energy, eV/atom: -7.210


Computed, not measured: a geometry-optimized NdSbS2 structure at the PBE-GGA level of DFT.

```
data_NdSbS2
_chemical_formula_sum 'Nd3 Sb3 S6'
_cell_length_a 3.9705
_cell_length_b 3.9705
_cell_length_c 25.8495
_cell_angle_alpha 90.00
_cell_angle_beta 90.00
_cell_angle_gamma 120.00
_symmetry_space_group_name_H-M 'R -3 m'
_symmetry_Int_Tables_number 166
_symmetry_space_group_name_Hall '-R 3 2"'
loop_
_atom_site_label
_atom_site_fract_x
_atom_site_fract_y
_atom_site_fract_z
Nd1 0.0000 0.0000 0.0000
Sb1 0.0000 0.0000 0.5000
S1 0.0000 0.0000 0.1079
```

Calculated values
Uncorrected energy, eV/atom: -4.704
Formation energy without anion corrections, eV per atom: -0.42


Computed, not measured: a geometry-optimized Tb12PmTm5 structure at the PBE-GGA level of DFT.

```
data_Tb12PmTm5
_chemical_formula_sum 'Tb24 Pm2 Tm10'
_cell_length_a 15.021
_cell_length_b 15.050
_cell_length_c 5.012
_cell_angle_alpha 90.00
_cell_angle_beta 90.00
_cell_angle_gamma 90.00
_symmetry_space_group_name_H-M 'C m m m'
_symmetry_Int_Tables_number 65
_symmetry_space_group_name_Hall '-C 2 2'
loop_
_atom_site_label
_atom_site_fract_x
_atom_site_fract_y
_atom_site_fract_z
Tb1 0.165 0.000 0.000
Tb2 0.165 0.166 0.500
Tb3 0.167 0.333 0.000
Tb4 0.167 0.500 0.500
Pm1 0.000 0.500 0.000
Tm1 0.000 0.000 0.500
Tm2 0.000 0.167 0.000
Tm3 0.000 0.332 0.500
```

Calculated values
Uncorrected energy, eV/atom: -4.573


Computed, not measured: a geometry-optimized VHg2Pd8 structure at the PBE-GGA level of DFT.

```
data_VHg2Pd8
_chemical_formula_sum 'V2 Hg4 Pd16'
_cell_length_a 14.468
_cell_length_b 4.028
_cell_length_c 6.320
_cell_angle_alpha 90.00
_cell_angle_beta 105.60
_cell_angle_gamma 90.00
_symmetry_space_group_name_H-M 'C 1 2/m 1'
_symmetry_Int_Tables_number 12
loop_
_symmetry_equiv_pos_as_xyz
'x,y,z'
'-x,-y,-z'
'-x,y,-z'
'x,-y,z'
'x+1/2,y+1/2,z'
'-x+1/2,-y+1/2,-z'
'-x+1/2,y+1/2,-z'
'x+1/2,-y+1/2,z'
loop_
_atom_site_label
_atom_site_fract_x
_atom_site_fract_y
_atom_site_fract_z
V1 0.000 0.000 0.000
Hg1 0.223 0.500 0.645
Pd1 0.041 0.500 0.729
Pd2 0.087 0.000 0.440
Pd3 0.128 0.500 0.166
Pd4 0.175 0.000 0.911
```

Calculated values
Uncorrected energy, eV/atom: -4.816


Size of the total moment
In order: 0.00, 12.00, 0.00, 0.00, 0.00, 0.00, 10.70, 5.43, 0.00, 0.00, 0.00, 2.33
Unit: μB per cell
Mass density
In order: 8.726, 5.016, 11.394, 10.543, 2.745, 4.738, 5.927, 9.342, 11.186, 4.660, 8.491, 12.204
Unit: g cm⁻³